# TlCdIr2, relaxed, DFT PBE-GGA
data_TlCdIr2
_cell_length_a 9.302
_cell_length_b 3.006
_cell_length_c 5.194
_cell_angle_alpha 90.00
_cell_angle_beta 100.69
_cell_angle_gamma 90.00
_symmetry_space_group_name_H-M 'C 1 2/m 1'
_symmetry_Int_Tables_number 12
loop_
_symmetry_equiv_pos_as_xyz
'x,y,z'
'-x,-y,-z'
'-x,y,-z'
'x,-y,z'
'x+1/2,y+1/2,z'
'-x+1/2,-y+1/2,-z'
'-x+1/2,y+1/2,-z'
'x+1/2,-y+1/2,z'
loop_
_atom_site_label
_atom_site_type_symbol
_atom_site_fract_x
_atom_site_fract_y
_atom_site_fract_z
Tl1 Tl 0.000 0.000 0.000
Cd1 Cd 0.000 0.500 0.500
Ir1 Ir 0.250 0.000 0.734
# Energy of formation from the pure elements in eV/atom: 0.456
# Fermi-level density of states in states/eV/f.u.: 3.2